(1)
## Cr2CoP (SCAN)

Data for a PBEsol-optimized structure of Cr2CoP.

## Properties
N(E_F): 0.78 states/eV/atom
formation enthalpy at 0 K: -13 kJ/mol of atoms
crystal system: tetragonal
size of the total moment: 0.30 Bohr magnetons per cell

Cell lengths 4.419, 4.419, 4.419 Å; angles 135.33, 135.33, 65.02 degrees
Fractional positions:
Cr1 0.250 0.750 0.500
Cr2 0.750 0.250 0.500
Co1 0.000 0.000 0.000
P1 0.500 0.500 0.000

---

(2)
## FeAg4Cl (SCAN)

Data for a PBEsol-optimized structure of FeAg4Cl.

## Properties
uncorrected formation energy: 2.39 eV per formula unit
N(E_F): 0.87 states/eV/atom
crystal system: cubic
size of the total moment: 3.55 Bohr magnetons per cell

Cell lengths 5.386, 5.386, 5.386 Å; angles 60.00, 60.00, 60.00 degrees
Fractional positions:
Fe1 0.000 0.000 0.000
Ag1 0.124 0.625 0.625
Ag2 0.625 0.124 0.625
Ag3 0.625 0.625 0.124
Ag4 0.625 0.625 0.625
Cl1 0.250 0.250 0.250

---

(3)
## Na3RuI (SCAN)

Data for a PBEsol-optimized structure of Na3RuI.

## Properties
uncorrected formation energy: 2.54 eV per formula unit
N(E_F): 1.42 states/eV/atom
crystal system: cubic
size of the total moment: 2.07 Bohr magnetons per cell

Cell lengths 5.619, 5.619, 5.619 Å; angles 90.00, 90.00, 90.00 degrees
Fractional positions:
Na1 0.000 0.000 0.500
Na2 0.000 0.500 0.000
Na3 0.500 0.000 0.000
Ru1 0.000 0.000 0.000
I1 0.500 0.500 0.500

---

(4)
## LaAl2Si2 (SCAN)

Data for a PBEsol-optimized structure of LaAl2Si2.

## Properties
uncorrected formation energy: -2.23 eV per formula unit
N(E_F): 0.33 states/eV/atom
crystal system: trigonal
size of the total moment: 0.00 Bohr magnetons per cell

Cell lengths 4.212, 4.212, 6.913 Å; angles 90.00, 90.00, 120.00 degrees
Fractional positions:
La1 0.000 0.000 0.000
Al1 0.333 0.667 0.637
Al2 0.667 0.333 0.363
Si1 0.333 0.667 0.271
Si2 0.667 0.333 0.729

---

(5)
## Ga2CuAgTe2Se2 (SCAN)

Data for a PBEsol-optimized structure of Ga2CuAgTe2Se2.

## Properties
uncorrected formation energy: -2.93 eV per formula unit
crystal system: monoclinic
size of the total moment: 0.00 Bohr magnetons per cell

Cell lengths 7.147, 7.147, 5.888 Å; angles 114.08, 114.08, 108.64 degrees
Fractional positions:
Ga1 0.000 0.000 0.000
Ga2 0.762 0.238 0.500
Cu1 0.492 0.508 0.000
Ag1 0.270 0.730 0.500
Te1 0.387 0.138 0.519
Te2 0.862 0.613 0.481
Se1 0.123 0.351 0.973
Se2 0.649 0.877 0.027

---

(6)
## SrS2O2 (SCAN)

Data for a PBEsol-optimized structure of SrS2O2.

## Properties
uncorrected formation energy: -2.82 eV per formula unit
N(E_F): 0.19 states/eV/atom
crystal system: tetragonal
size of the total moment: 0.00 Bohr magnetons per cell

Cell lengths 4.923, 4.923, 4.923 Å; angles 126.90, 126.90, 78.42 degrees
Fractional positions:
Sr1 0.000 0.000 0.000
S1 0.379 0.379 0.000
S2 0.621 0.621 0.000
O1 0.250 0.750 0.500
O2 0.750 0.250 0.500

---

(7)
## HgPPt5 (SCAN)

Data for a PBEsol-optimized structure of HgPPt5.

## Properties
N(E_F): 0.42 states/eV/atom
formation enthalpy at 0 K: -21 kJ/mol of atoms
crystal system: tetragonal
size of the total moment: 0.00 Bohr magnetons per cell

Cell lengths 3.919, 3.919, 7.112 Å; angles 90.00, 90.00, 90.00 degrees
Fractional positions:
Hg1 0.000 0.000 0.000
P1 0.500 0.500 0.500
Pt1 0.000 0.500 0.302
Pt2 0.000 0.500 0.698
Pt3 0.500 0.000 0.302
Pt4 0.500 0.000 0.698
Pt5 0.500 0.500 0.000

---

(8)
## Cu2H2Ir (SCAN)

Data for a PBEsol-optimized structure of Cu2H2Ir.

## Properties
energy: -21.566 eV per atom
N(E_F): 0.29 states/eV/atom
crystal system: tetragonal
size of the total moment: 0.00 Bohr magnetons per cell

Cell lengths 3.592, 3.592, 3.738 Å; angles 90.00, 90.00, 90.00 degrees
Fractional positions:
Cu1 0.000 0.500 0.000
Cu2 0.500 0.000 0.000
H1 0.000 0.500 0.500
H2 0.500 0.000 0.500
Ir1 0.000 0.000 0.500